# 1
The following is a PBE-GGA calculation of a relaxed structure of SrLi3S4O12, from Alexandria.

Computed properties:
**Uncorrected formation energy**: -1.21 eV per atom

```
20
Lattice="5.252 3.032 2.811 -5.252 3.032 2.811 0.000 -6.065 2.811" Properties=species:S:1:pos:R:3 pbc="T T T"
Sr 0.000 0.000 0.000
Li -2.909 -1.027 2.811
Li 2.343 -2.006 2.811
Li 0.565 3.032 2.811
S -2.373 -4.111 4.217
S 0.000 0.000 4.217
S -2.373 4.111 4.217
S 4.747 0.000 4.217
O -3.193 -2.802 4.049
O -4.225 0.000 4.217
O -0.830 -4.166 4.385
O -1.486 0.000 4.217
O -3.193 2.802 4.385
O 2.113 -3.659 4.217
O 0.743 -1.287 4.217
O -0.830 4.166 4.049
O 0.743 1.287 4.217
O 4.023 -1.364 4.049
O 2.113 3.659 4.217
O 4.023 1.364 4.385
```

---

# 2
The following is a PBE-GGA calculation of a relaxed structure of SrMnVPd2, from Alexandria.

Computed properties:
**Formation enthalpy at 0 K**: 1782.7 meV per atom

```
5
Lattice="5.041 0.000 0.000 0.000 5.041 0.000 0.000 0.000 4.943" Properties=species:S:1:pos:R:3 pbc="T T T"
Sr 0.000 0.000 0.000
Mn 2.520 2.520 2.471
V 0.000 0.000 2.471
Pd 0.000 2.520 0.000
Pd 2.520 0.000 0.000
```

---

# 3
The following is a PBE-GGA calculation of a relaxed structure of BeSbOs2, from Alexandria.

Computed properties:
**ΔE to the lowest computed polymorph**: 100 meV/atom
**Uncorrected formation energy**: 0.41 eV per atom

```
4
Lattice="4.302 0.000 0.000 0.000 4.302 0.000 0.000 0.000 3.132" Properties=species:S:1:pos:R:3 pbc="T T T"
Be 0.000 0.000 0.000
Sb 2.151 2.151 0.000
Os 0.000 2.151 1.566
Os 2.151 0.000 1.566
```

---

# 4
The following is a PBE-GGA calculation of a relaxed structure of Sm3YHg12, from Alexandria.

Computed properties:
**Formation enthalpy at 0 K**: -338.6 meV per atom

```
16
Lattice="4.583 0.000 0.000 0.000 4.583 0.000 0.000 0.000 19.229" Properties=species:S:1:pos:R:3 pbc="T T T"
Sm 0.000 0.000 0.000
Sm 0.000 0.000 4.841
Sm 0.000 0.000 14.388
Y 0.000 0.000 9.614
Hg 0.000 2.291 2.417
Hg 0.000 2.291 7.246
Hg 0.000 2.291 11.983
Hg 0.000 2.291 16.812
Hg 2.291 0.000 2.417
Hg 2.291 0.000 7.246
Hg 2.291 0.000 11.983
Hg 2.291 0.000 16.812
Hg 2.291 2.291 0.000
Hg 2.291 2.291 4.833
Hg 2.291 2.291 9.614
Hg 2.291 2.291 14.396
```

---

# 5
The following is a PBE-GGA calculation of a relaxed structure of Li3BeMo, from Alexandria.

Computed properties:
**ΔE to the lowest computed polymorph**: 566 meV/atom
**Formation enthalpy at 0 K**: 1651.2 meV per atom

```
5
Lattice="4.916 0.000 0.000 0.000 4.916 0.000 0.000 0.000 4.916" Properties=species:S:1:pos:R:3 pbc="T T T"
Li 0.000 0.000 2.458
Li 0.000 2.458 0.000
Li 2.458 0.000 0.000
Be 2.458 2.458 2.458
Mo 0.000 0.000 0.000
```

---

# 6
The following is a PBE-GGA calculation of a relaxed structure of MgPb4, from Alexandria.

Computed properties:
**ΔE to the lowest computed polymorph**: 73 meV/atom
**Formation enthalpy at 0 K**: 65.8 meV per atom

```
10
Lattice="5.471 0.000 0.000 0.000 5.624 0.000 -0.856 0.000 10.238" Properties=species:S:1:pos:R:3 pbc="T T T"
Mg 0.000 0.000 0.000
Mg -0.428 2.812 5.119
Pb -0.101 0.136 3.495
Pb -0.529 2.675 8.614
Pb 2.421 3.590 3.598
Pb 1.993 4.845 8.717
Pb 2.622 0.778 1.520
Pb 2.194 2.034 6.639
Pb 5.143 2.948 1.624
Pb 4.715 5.487 6.743
```

---

# 7
The following is a PBE-GGA calculation of a relaxed structure of SrTlPRu, from Alexandria.

Computed properties:
**ΔE to the lowest computed polymorph**: 20 meV/atom
**Formation enthalpy at 0 K**: -405.3 meV per atom

```
4
Lattice="1.893 1.093 7.644 -1.893 1.093 7.644 0.000 -2.186 7.644" Properties=species:S:1:pos:R:3 pbc="T T T"
Sr 0.000 0.000 0.000
Tl 0.000 0.000 10.355
P 0.000 0.000 13.254
Ru 0.000 0.000 4.904
```

---

# 8
The following is a PBE-GGA calculation of a relaxed structure of BaSc2As, from Alexandria.

Computed properties:
**Formation enthalpy at 0 K**: -481.0 meV per atom

```
4
Lattice="3.763 0.000 0.000 0.000 3.763 0.000 0.000 0.000 8.019" Properties=species:S:1:pos:R:3 pbc="T T T"
Ba 0.000 0.000 0.000
Sc 0.000 0.000 4.697
Sc 1.881 1.881 2.869
As 1.881 1.881 5.615
```

---

# 9
The following is a PBE-GGA calculation of a relaxed structure of Nd12DyHo3, from Alexandria.

Computed properties:
**Formation enthalpy at 0 K**: 13.6 meV per atom

```
16
Lattice="5.154 0.000 0.000 0.000 5.154 0.000 0.000 0.000 20.547" Properties=species:S:1:pos:R:3 pbc="T T T"
Nd 0.000 0.000 0.000
Nd 0.000 0.000 5.140
Nd 0.000 0.000 10.274
Nd 0.000 0.000 15.407
Nd 0.000 2.577 2.572
Nd 0.000 2.577 7.706
Nd 0.000 2.577 12.841
Nd 0.000 2.577 17.975
Nd 2.577 0.000 2.572
Nd 2.577 0.000 7.706
Nd 2.577 0.000 12.841
Nd 2.577 0.000 17.975
Dy 2.577 2.577 0.000
Ho 2.577 2.577 5.140
Ho 2.577 2.577 10.274
Ho 2.577 2.577 15.407
```

---

# 10
The following is a PBE-GGA calculation of a relaxed structure of Fe2PC, from Alexandria.

Computed properties:
**Formation enthalpy at 0 K**: 122.2 meV per atom

```
4
Lattice="3.538 -1.341 0.000 3.538 1.341 0.000 -1.256 0.000 4.125" Properties=species:S:1:pos:R:3 pbc="T T T"
Fe 0.000 0.000 0.000
Fe 3.948 0.000 2.391
P 1.953 0.000 1.469
C 0.761 0.000 3.777
```

---

# 11
The following is a PBE-GGA calculation of a relaxed structure of V3FeC, from Alexandria.

Computed properties:
**ΔE to the lowest computed polymorph**: 0 meV/atom
**Formation enthalpy at 0 K**: -85.8 meV per atom

```
5
Lattice="3.941 0.000 0.000 0.000 3.941 0.000 0.000 0.000 3.941" Properties=species:S:1:pos:R:3 pbc="T T T"
V 0.000 0.000 1.970
V 0.000 1.970 0.000
V 1.970 0.000 0.000
Fe 1.970 1.970 1.970
C 0.000 0.000 0.000
```

---

# 12
The following is a PBE-GGA calculation of a relaxed structure of KBa2Cd2, from Alexandria.

Computed properties:
**ΔE to the lowest computed polymorph**: 143 meV/atom
**Formation enthalpy at 0 K**: -39.0 meV per atom

```
5
Lattice="-2.245 2.245 12.613 2.245 -2.245 12.613 2.245 2.245 -12.613" Properties=species:S:1:pos:R:3 pbc="T T T"
K 0.000 0.000 0.000
Ba 0.000 0.000 9.086
Ba 0.000 0.000 16.140
Cd 2.245 0.000 6.306
Cd 0.000 2.245 6.306
```

---

Number 1: total magnetization 0.237 μB per atom. Number 2: total magnetization 0.981 μB per atom. Number 3: total magnetization 0.000 μB per atom. Number 4: total magnetization 0.000 μB per atom. Number 5: total magnetization 0.729 μB per atom. Number 6: total magnetization 0.000 μB per atom. Number 7: total magnetization 0.000 μB per atom. Number 8: total magnetization 0.037 μB per atom. Number 9: total magnetization 0.000 μB per atom. Number 10: total magnetization 0.423 μB per atom. Number 11: total magnetization 0.450 μB per atom. Number 12: total magnetization 0.000 μB per atom.